# Pm6HgSe5

A geometry-optimized Pm6HgSe5 structure (PBE, Alexandria via LeMat-Bulk).

Calculated values
Volume (Å³/atom): 26.86
Uncorrected energy (eV/atom): -5.4681
Fermi-level density of states (states/eV per atom): 0.39
E_form (uncorrected) (eV/atom): -1.616

a b c (Å): 7.3341 7.3341 7.3246
angles (deg): 99.56 99.56 119.89
Atoms (fractional coordinates):
Pm: 0.0763 0.4159 0.7468
Pm: 0.2448 0.2448 0.2512
Pm: 0.4159 0.0763 0.7468
Pm: 0.5841 0.9237 0.2532
Pm: 0.7552 0.7552 0.7488
Pm: 0.9237 0.5841 0.2532
Hg: 0.5000 0.5000 0.0000
Se: 0.0000 0.0000 0.5000
Se: 0.1664 0.8336 0.0000
Se: 0.3348 0.6652 0.5000
Se: 0.6652 0.3348 0.5000
Se: 0.8336 0.1664 0.0000